1.
K2TlCd (PBE, optimized geometry); DOS(E_F) = 0.8374 states/eV/atom; V = 160.3 Å³/f.u.
1.0
1.9704 1.1376 11.9194
-1.9704 1.1376 11.9194
0.0000 -2.2752 11.9194
K Tl Cd
2 1 1
Cartesian
0.0000 0.0000 8.8973 K
0.0000 0.0000 26.8609 K
0.0000 0.0000 17.8791 Tl
0.0000 0.0000 0.0000 Cd

***

2.
KTlCd10 (PBE, optimized geometry); DOS(E_F) = 0.3426 states/eV/atom; V = 320.7 Å³/f.u.
1.0
4.8360 0.0000 0.0000
0.0000 6.2741 0.0000
0.0000 0.0000 10.5704
K Tl Cd
1 1 10
Cartesian
0.0000 0.0000 0.0000 K
0.0000 3.1370 5.2852 Tl
0.0000 0.0000 3.5921 Cd
0.0000 0.0000 6.9784 Cd
0.0000 3.1370 1.8421 Cd
0.0000 3.1370 8.7283 Cd
2.4180 0.0000 5.2852 Cd
2.4180 1.5626 2.6664 Cd
2.4180 1.5626 7.9040 Cd
2.4180 3.1370 0.0000 Cd
2.4180 4.7114 2.6664 Cd
2.4180 4.7114 7.9040 Cd

***

3.
K2TlCd2 (PBE, optimized geometry); energy relative to the lowest polymorph listed for this composition = 257 meV/atom; DOS(E_F) = 1.0229 states/eV/atom; V = 204.4 Å³/f.u.
1.0
-2.6021 2.6021 7.5480
2.6021 -2.6021 7.5480
2.6021 2.6021 -7.5480
K Tl Cd
2 1 2
Cartesian
2.6021 0.0000 3.7740 K
0.0000 2.6021 3.7740 K
0.0000 0.0000 0.0000 Tl
0.0000 0.0000 6.1463 Cd
0.0000 0.0000 8.9496 Cd

***

4.
K3Tl2Cd2 (PBE, optimized geometry); DOS(E_F) = 0.5627 states/eV/atom; V = 249.0 Å³/f.u.
1.0
2.7738 1.6014 9.3425
-2.7738 1.6014 9.3425
0.0000 -3.2029 9.3425
K Tl Cd
3 2 2
Cartesian
0.0000 0.0000 0.0000 K
0.0000 0.0000 3.6970 K
0.0000 0.0000 24.3304 K
0.0000 0.0000 11.0812 Tl
0.0000 0.0000 16.9462 Tl
0.0000 0.0000 7.6574 Cd
0.0000 0.0000 20.3700 Cd

***

5.
KTl2Cd4 (PBE, optimized geometry); energy relative to the lowest polymorph listed for this composition = 41 meV/atom; DOS(E_F) = 0.4646 states/eV/atom; V = 204.4 Å³/f.u.
1.0
-4.0498 4.0498 3.1153
4.0498 -4.0498 3.1153
4.0498 4.0498 -3.1153
K Tl Cd
1 2 4
Cartesian
0.0000 0.0000 0.0000 K
4.0498 0.0000 1.5576 Tl
0.0000 4.0498 1.5576 Tl
2.5255 2.5255 0.0000 Cd
1.5243 -1.5243 3.1153 Cd
-1.5243 1.5243 3.1153 Cd
1.5243 1.5243 3.1153 Cd

***

6.
KTl4Cd2 (PBE, optimized geometry); energy relative to the lowest polymorph listed for this composition = 28 meV/atom; DOS(E_F) = 0.4295 states/eV/atom; V = 213.8 Å³/f.u.
1.0
-2.9592 4.1821 4.3194
2.9592 -4.1821 4.3194
2.9592 4.1821 -4.3194
K Tl Cd
1 4 2
Cartesian
0.0000 0.0000 0.0000 K
2.9592 1.6258 -1.6553 Tl
2.9592 1.6258 1.6553 Tl
0.0000 2.5564 2.6640 Tl
0.0000 2.5564 5.9747 Tl
1.4709 4.1821 0.0000 Cd
1.4883 0.0000 4.3194 Cd

***

7.
KTlCd (PBE, optimized geometry); energy relative to the lowest polymorph listed for this composition = 61 meV/atom; DOS(E_F) = 0.5624 states/eV/atom; V = 99.8 Å³/f.u.
1.0
2.4191 -7.7386 0.0000
2.4191 7.7386 0.0000
0.0000 0.0000 5.3297
K Tl Cd
2 2 2
Cartesian
2.4191 6.4780 3.9973 K
2.4191 -6.4780 1.3324 K
2.4191 1.9583 3.9973 Tl
2.4191 -1.9583 1.3324 Tl
2.4191 3.9061 1.3324 Cd
2.4191 -3.9061 3.9973 Cd

***

8.
K2TlCd (PBE, optimized geometry); DOS(E_F) = 0.5813 states/eV/atom; V = 161.5 Å³/f.u.
1.0
5.5994 -1.8391 0.0000
5.5994 1.8391 0.0000
-0.9540 0.0000 7.8436
K Tl Cd
2 1 1
Cartesian
2.5439 0.0000 1.9541 K
7.7010 0.0000 5.8895 K
-0.4770 0.0000 3.9218 Tl
5.5994 0.0000 0.0000 Cd

***

Q: Which E_tot values were calculated for the entries above? A: -1.2940, -1.0621, -1.1064, -1.4815, -1.3561, -1.7925, -1.5092, -1.2987, in eV/atom.